No. 1
A plane-wave DFT calculation with PBE was carried out for a relaxed Nb2PdRuS crystal.

Unit cell a=4.560 b=4.560 c=4.282 alpha=90.00 beta=90.00 gamma=90.00
Fractional positions:
Nb 0.000 0.500 0.000
Nb 0.500 0.000 0.000
Pd 0.000 0.000 0.500
Ru 0.500 0.500 0.500
S 0.500 0.500 0.000

The total DFT energy (no corrections) comes out at -7.580 eV/atom. The calculation puts the uncorrected formation energy at 0.17 eV per atom. For the density of states at the Fermi level, the calculation gives 8.7 states/eV/f.u. Its crystal system is tetragonal. The symmetry is P4/mmm (123).


No. 2
A plane-wave DFT calculation with PBE was carried out for a relaxed Y2HfSi2 crystal.

Unit cell a=7.237 b=7.237 c=4.165 alpha=90.00 beta=90.00 gamma=90.00
Fractional positions:
Y 0.175 0.325 0.000
Y 0.325 0.825 0.000
Y 0.675 0.175 0.000
Y 0.825 0.675 0.000
Hf 0.000 0.000 0.500
Hf 0.500 0.500 0.500
Si 0.125 0.625 0.500
Si 0.375 0.125 0.500
Si 0.625 0.875 0.500
Si 0.875 0.375 0.500

The total DFT energy (no corrections) comes out at -7.431 eV/atom. The calculation puts the uncorrected formation energy at -0.69 eV per atom. For the density of states at the Fermi level, the calculation gives 4.8 states/eV/f.u. Its crystal system is tetragonal. The symmetry is P4/mbm (127).


No. 3
A plane-wave DFT calculation with PBE was carried out for a relaxed FeTeSe2 crystal.

Unit cell a=5.044 b=3.441 c=5.172 alpha=90.00 beta=117.09 gamma=90.00
Fractional positions:
Fe 0.000 0.000 0.000
Te 0.000 0.000 0.500
Se 0.363 0.500 0.166
Se 0.637 0.500 0.834

The total DFT energy (no corrections) comes out at -4.669 eV/atom. The calculation puts the uncorrected formation energy at -0.03 eV per atom. For the density of states at the Fermi level, the calculation gives 3.3 states/eV/f.u. Its crystal system is monoclinic. The symmetry is P2/m (10).


No. 4
A plane-wave DFT calculation with PBE was carried out for a relaxed ZrBeTlCo2 crystal.

Unit cell a=4.600 b=4.600 c=4.854 alpha=90.00 beta=90.00 gamma=90.00
Fractional positions:
Zr 0.000 0.000 0.000
Be 0.000 0.000 0.500
Tl 0.500 0.500 0.500
Co 0.000 0.500 0.000
Co 0.500 0.000 0.000

The total DFT energy (no corrections) comes out at -4.395 eV/atom. Its formation enthalpy at 0 K is 1375.0 meV per atom. For the density of states at the Fermi level, the calculation gives 6.0 states/eV/f.u. Its crystal system is tetragonal. The symmetry is P4/mmm (123).